PuCo3 | GGA-PBE | relaxed

Calculated values
As for the total energy: -135.314 eV for the cell shown. The formation energy comes out at 404 meV per atom.

Unit cell a=5.9107 b=5.9107 c=5.9107 alpha=90.00 beta=90.00 gamma=90.00
Space group Fm-3m (No. 225)
Unique sites:
1 Pu 0.0000 0.0000 0.0000 (multiplicity 4)
2 Co 0.0000 0.0000 0.5000 (multiplicity 4)
3 Co 0.2500 0.2500 0.2500 (multiplicity 8)